Record 1
This record from Alexandria describes crystalline LiBeNiPd at its relaxed geometry. The functional is PBE.

abc: 3.946 3.946 3.946
angles: 60.00 60.00 60.00
Fractional positions:
Li: 0.000 0.000 0.000
Be: 0.500 0.500 0.500
Ni: 0.750 0.750 0.750
Pd: 0.250 0.250 0.250

DFT formation energy	-0.34	eV per atom
magnetization	0.0	μB/f.u.
ρ	6.92	Mg/m³

=====

Record 2
This record from Alexandria describes crystalline Li3Pm2BeNi12 at its relaxed geometry. The functional is PBE.

abc: 8.893 8.893 8.893
angles: 39.21 39.21 39.21
Fractional positions:
Li: 0.000 0.500 0.500
Li: 0.500 0.000 0.500
Li: 0.500 0.500 0.000
Pm: 0.155 0.155 0.155
Pm: 0.845 0.845 0.845
Be: 0.500 0.500 0.500
Ni: 0.078 0.078 0.685
Ni: 0.078 0.685 0.078
Ni: 0.161 0.569 0.569
Ni: 0.315 0.922 0.922
Ni: 0.431 0.431 0.839
Ni: 0.431 0.839 0.431
Ni: 0.569 0.161 0.569
Ni: 0.569 0.569 0.161
Ni: 0.685 0.078 0.078
Ni: 0.839 0.431 0.431
Ni: 0.922 0.315 0.922
Ni: 0.922 0.922 0.315

DFT formation energy	0.13	eV per atom
magnetization	0.0	μB/f.u.
ρ	6.72	Mg/m³

=====

Record 3
This record from Alexandria describes crystalline Li3Pr2BeNi12 at its relaxed geometry. The functional is PBE.

abc: 8.918 8.918 8.918
angles: 39.33 39.33 39.33
Fractional positions:
Li: 0.000 0.500 0.500
Li: 0.500 0.000 0.500
Li: 0.500 0.500 0.000
Pr: 0.156 0.156 0.156
Pr: 0.844 0.844 0.844
Be: 0.500 0.500 0.500
Ni: 0.078 0.078 0.686
Ni: 0.078 0.686 0.078
Ni: 0.163 0.566 0.566
Ni: 0.314 0.922 0.922
Ni: 0.434 0.434 0.837
Ni: 0.434 0.837 0.434
Ni: 0.566 0.163 0.566
Ni: 0.566 0.566 0.163
Ni: 0.686 0.078 0.078
Ni: 0.837 0.434 0.434
Ni: 0.922 0.314 0.922
Ni: 0.922 0.922 0.314

DFT formation energy	0.14	eV per atom
magnetization	0.0	μB/f.u.
ρ	6.58	Mg/m³

=====

| no. | calculated total energy (eV per atom) |
| --- | --- |
| 1 | -4.492 |
| 2 | -4.779 |
| 3 | -4.769 |